one:
This record from the Alexandria database describes a geometry-optimized VCuIr3 structure. The functional is PBE.

```
VCuIr3
1.0
4.5019 0.0000 0.0000
0.0000 4.5019 0.0000
0.0000 0.0000 4.5019
V Ir Cu
1 3 1
direct
0.0000 0.0000 0.0000
0.0000 0.0000 0.5000
0.5000 0.0000 0.0000
0.0000 0.5000 0.0000
0.5000 0.5000 0.5000
```

Properties
DOS(E_F): 5.2 states/eV/f.u.

---

two:
This record from the Alexandria database describes a geometry-optimized VCuIr3 structure. The functional is PBE.

```
VCuIr3
1.0
4.4345 0.0000 0.0000
0.0000 4.4345 0.0000
0.0000 0.0000 4.4345
Ir Cu V
3 1 1
direct
0.0000 0.5000 0.0000
0.0000 0.0000 0.5000
0.5000 0.0000 0.0000
0.0000 0.0000 0.0000
0.5000 0.5000 0.5000
```

Properties
DOS(E_F): 6.3 states/eV/f.u.

---

Ordering by calculated energy gives the sequence one, two, with the first entry being the most stable.

---

one:
This record from the Alexandria database describes a geometry-optimized V2CuIr2 structure. The functional is PBE.

```
V2CuIr2
1.0
-3.7716 -3.1450 5.5003
5.7120 -4.4578 1.3679
1.0114 1.8298 1.7398
V Cu Ir
4 2 4
direct
0.8493 0.6507 0.0000
0.1507 0.3493 0.0000
0.6507 0.1507 0.0000
0.3493 0.8493 0.0000
0.0000 0.0000 0.0000
0.5000 0.5000 0.0000
0.1435 0.6435 0.5000
0.6435 0.8565 0.5000
0.3565 0.1435 0.5000
0.8565 0.3565 0.5000
```

Properties
DOS(E_F): 4.0 states/eV/f.u.

---

two:
This record from the Alexandria database describes a geometry-optimized V2CuIr2 structure. The functional is PBE.

```
V2CuIr2
1.0
-3.1330 5.2779 3.9141
1.3549 -3.7242 6.1063
2.4463 1.2771 0.2361
V Cu Ir
4 2 4
direct
0.8390 0.3390 0.5000
0.6610 0.8390 0.5000
0.3390 0.1610 0.5000
0.1610 0.6610 0.5000
0.0000 0.0000 0.0000
0.5000 0.5000 0.0000
0.6367 0.1367 0.0000
0.1367 0.3633 0.0000
0.3633 0.8633 0.0000
0.8633 0.6367 0.0000
```

Properties
DOS(E_F): 4.5 states/eV/f.u.

---

Ordering by calculated energy gives the sequence two, one, with the first entry being the most stable.

---

one:
This record from the Alexandria database describes a geometry-optimized Cu2IrW structure. The functional is PBE.

```
Cu2IrW
1.0
-1.5142 -1.5947 -1.6460
2.0576 -3.6866 1.6790
-3.1917 -0.3082 3.2347
Ir W Cu
1 1 2
direct
0.5000 0.0000 0.5000
0.0000 0.5000 0.5000
0.0000 0.0000 0.0000
0.5000 0.5000 0.0000
```

Properties
DOS(E_F): 3.5 states/eV/f.u.

---

two:
This record from the Alexandria database describes a geometry-optimized Cu2IrW structure. The functional is PBE.

```
Cu2IrW
1.0
-3.7095 -0.0233 2.7810
-1.7860 -1.6254 3.9577
1.0908 3.4281 2.8843
Cu Ir W
2 1 1
direct
0.0037 0.0037 0.9772
0.7506 0.7506 0.7733
0.4964 0.4964 0.4817
0.2493 0.2493 0.2678
```

Properties
DOS(E_F): 2.6 states/eV/f.u.

---

three:
This record from the Alexandria database describes a geometry-optimized Cu2IrW structure. The functional is PBE.

```
Cu2IrW
1.0
2.6415 0.0145 0.0000
-1.1108 2.3967 0.0000
0.0000 0.0000 8.9061
Cu Ir W
2 1 1
direct
0.0000 0.0000 0.0023
0.0000 0.0000 0.4977
0.5000 0.5000 0.2500
0.5000 0.5000 0.7500
```

Properties
DOS(E_F): 3.5 states/eV/f.u.

---

Ordering by calculated energy gives the sequence two, one, three, with the first entry being the most stable.

---

one:
This record from the Alexandria database describes a geometry-optimized CuIr2W2 structure. The functional is PBE.

```
CuIr2W2
1.0
-5.8780 4.2151 2.3841
1.0875 -2.5048 7.1096
1.7229 2.1277 0.4861
Ir W Cu
4 4 2
direct
0.3717 0.8717 0.0000
0.6283 0.1283 0.0000
0.8717 0.6283 0.0000
0.1283 0.3717 0.0000
0.1662 0.6662 0.5000
0.8338 0.3338 0.5000
0.6662 0.8338 0.5000
0.3338 0.1662 0.5000
0.0000 0.0000 0.0000
0.5000 0.5000 0.0000
```

Properties
DOS(E_F): 3.4 states/eV/f.u.

---

two:
This record from the Alexandria database describes a geometry-optimized CuIr2W2 structure. The functional is PBE.

```
CuIr2W2
1.0
-1.9727 1.9727 5.7102
1.9727 -1.9727 5.7102
1.9727 1.9727 -5.7102
Ir Cu W
2 1 2
direct
0.6062 0.6062 0.0000
0.3938 0.3938 0.0000
0.0000 0.0000 0.0000
0.7500 0.2500 0.5000
0.2500 0.7500 0.5000
```

Properties
DOS(E_F): 4.6 states/eV/f.u.

---

Ordering by calculated energy gives the sequence one, two, with the first entry being the most stable.

---

one:
This record from the Alexandria database describes a geometry-optimized YCuIr structure. The functional is PBE.

```
YCuIr
1.0
4.3699 0.0000 0.0000
2.1849 3.7844 0.0000
2.1849 1.2615 3.5680
Ir Y Cu
1 1 1
direct
0.0000 0.0000 0.0000
0.5000 0.5000 0.5000
0.7500 0.7500 0.7500
```

Properties
DOS(E_F): 2.1 states/eV/f.u.

---

two:
This record from the Alexandria database describes a geometry-optimized YCuIr structure. The functional is PBE.

```
YCuIr
1.0
5.2343 0.0083 -0.0093
4.1142 3.2359 -0.0096
1.1200 0.3892 3.2041
Cu Y Ir
1 1 1
direct
0.0223 0.0223 0.9777
0.3289 0.3289 0.6711
0.6488 0.6488 0.3512
```

Properties
DOS(E_F): 2.2 states/eV/f.u.

---

Ordering by calculated energy gives the sequence two, one, with the first entry being the most stable.

---

one:
This record from the Alexandria database describes a geometry-optimized YCuIr structure. The functional is PBE.

```
YCuIr
1.0
4.5323 0.0000 0.0000
2.2661 3.9251 0.0000
2.2661 1.3084 3.7006
Y Cu Ir
1 1 1
direct
0.7500 0.7500 0.7500
0.0000 0.0000 0.0000
0.5000 0.5000 0.5000
```

Properties
DOS(E_F): 2.1 states/eV/f.u.

---

two:
This record from the Alexandria database describes a geometry-optimized YCuIr structure. The functional is PBE.

```
YCuIr
1.0
-1.4199 -4.1245 2.4687
0.6437 -4.6904 -2.3779
3.7664 -3.1714 1.9558
Ir Cu Y
2 2 2
direct
0.5000 0.0000 0.5000
0.5000 0.5000 0.0000
0.5000 0.0000 0.0000
0.0000 0.0000 0.0000
0.1241 0.6259 0.6259
0.8759 0.3741 0.3741
```

Properties
DOS(E_F): 1.9 states/eV/f.u.

---

Ordering by calculated energy gives the sequence two, one, with the first entry being the most stable.

---

one:
This record from the Alexandria database describes a geometry-optimized Y2Cu2Ir structure. The functional is PBE.

```
Y2Cu2Ir
1.0
-0.3999 -0.2877 -3.4043
-3.0145 -1.5834 0.4879
-5.6605 6.5395 -1.6255
Y Cu Ir
2 2 1
direct
0.5996 0.5996 0.8008
0.4004 0.4004 0.1992
0.2500 0.7500 0.5000
0.7500 0.2500 0.5000
0.0000 0.0000 0.0000
```

Properties
DOS(E_F): 4.6 states/eV/f.u.

---

two:
This record from the Alexandria database describes a geometry-optimized Y2Cu2Ir structure. The functional is PBE.

```
Y2Cu2Ir
1.0
-3.5625 0.7800 -1.7730
-3.1862 -4.3771 -0.1609
-5.4163 3.5426 7.8045
Ir Y Cu
2 4 4
direct
0.3927 0.8930 0.3215
0.6073 0.1070 0.6785
0.9260 0.2715 0.8766
0.6745 0.3105 0.3406
0.0740 0.7285 0.1234
0.3255 0.6895 0.6594
0.0926 0.2651 0.5496
0.9074 0.7349 0.4504
0.6276 0.8521 0.8928
0.3724 0.1479 0.1072
```

Properties
DOS(E_F): 2.9 states/eV/f.u.

---

three:
This record from the Alexandria database describes a geometry-optimized Y2Cu2Ir structure. The functional is PBE.

```
Y2Cu2Ir
1.0
-5.2535 2.4693 -3.8557
1.0179 -5.0917 -4.6477
-2.5229 -2.2985 1.9655
Cu Ir Y
4 2 4
direct
0.3792 0.8792 0.0000
0.1208 0.3792 0.0000
0.8792 0.6208 0.0000
0.6208 0.1208 0.0000
0.5000 0.5000 0.0000
0.0000 0.0000 0.0000
0.8127 0.3127 0.5000
0.1873 0.6873 0.5000
0.3127 0.1873 0.5000
0.6873 0.8127 0.5000
```

Properties
DOS(E_F): 3.8 states/eV/f.u.

---

four:
This record from the Alexandria database describes a geometry-optimized Y2Cu2Ir structure. The functional is PBE.

```
Y2Cu2Ir
1.0
6.2581 0.0000 0.0000
-3.1291 4.5334 -1.4264
0.0000 -0.3981 7.0212
Ir Y Cu
2 4 4
direct
0.7609 0.0000 0.2500
0.2391 0.0000 0.7500
0.5799 0.3377 0.1548
0.7578 0.3377 0.6548
0.2422 0.6623 0.3452
0.4201 0.6623 0.8452
0.7904 0.8255 0.5525
0.2096 0.1745 0.4475
0.0351 0.8255 0.0525
0.9649 0.1745 0.9475
```

Properties
DOS(E_F): 2.2 states/eV/f.u.

---

Ordering by calculated energy gives the sequence four, two, three, one, with the first entry being the most stable.

---

one:
This record from the Alexandria database describes a geometry-optimized YCu3Ir structure. The functional is PBE.

```
YCu3Ir
1.0
4.6484 0.0000 0.0000
0.0000 4.6484 0.0000
0.0000 0.0000 4.6484
Cu Y Ir
3 1 1
direct
0.5000 0.0000 0.0000
0.0000 0.0000 0.5000
0.0000 0.5000 0.0000
0.5000 0.5000 0.5000
0.0000 0.0000 0.0000
```

Properties
DOS(E_F): 4.2 states/eV/f.u.

---

two:
This record from the Alexandria database describes a geometry-optimized YCu3Ir structure. The functional is PBE.

```
YCu3Ir
1.0
-2.0916 3.8934 -1.6254
-4.1109 -2.2889 -0.1928
-0.9494 1.3333 4.4155
Ir Cu Y
1 3 1
direct
0.5000 0.5000 0.5000
0.0000 0.0000 0.5000
0.5000 0.0000 0.0000
0.0000 0.5000 0.0000
0.0000 0.0000 0.0000
```

Properties
DOS(E_F): 6.4 states/eV/f.u.

---

Ordering by calculated energy gives the sequence one, two, with the first entry being the most stable.